No. 1
The following is a PBE-GGA calculation of a relaxed CaBeCuAu3 crystal, from Alexandria via LeMat-Bulk.

Formation energy, eV/atom: -0.2406
V, Å³/atom: 19.5
DOS at the Fermi energy, states/eV/f.u.: 2.03
Space-group type: No. 63

Cell: 5.674 6.497 7.129 Å, 117.11 90.00 90.00°
Fractional positions:
Ca (0.750, 0.278, 0.557)
Ca (0.250, 0.722, 0.443)
Be (0.250, 0.981, 0.962)
Be (0.750, 0.019, 0.038)
Cu (0.250, 0.364, 0.728)
Cu (0.750, 0.636, 0.272)
Au (0.250, 0.167, 0.334)
Au (0.000, 0.279, 0.000)
Au (0.500, 0.721, 0.000)
Au (0.500, 0.279, 0.000)
Au (0.000, 0.721, 0.000)
Au (0.750, 0.833, 0.666)

=====

No. 2
The following is a PBE-GGA calculation of a relaxed CaBe2CuAu5 crystal, from Alexandria via LeMat-Bulk.

Formation energy, eV/atom: -0.2099
V, Å³/atom: 17.0
DOS at the Fermi energy, states/eV/f.u.: 2.66
Space-group type: No. 123

Cell: 4.615 4.615 7.163 Å, 90.00 90.00 90.00°
Fractional positions:
Ca (0.000, 0.000, 0.500)
Be (0.500, 0.500, 0.163)
Be (0.500, 0.500, 0.837)
Cu (0.000, 0.000, 0.000)
Au (0.000, 0.500, 0.208)
Au (0.500, 0.000, 0.208)
Au (0.000, 0.500, 0.792)
Au (0.500, 0.000, 0.792)
Au (0.500, 0.500, 0.500)

=====

No. 3
The following is a PBE-GGA calculation of a relaxed CaBeGa2Au5 crystal, from Alexandria via LeMat-Bulk.

Formation energy, eV/atom: -0.2823
V, Å³/atom: 20.0
DOS at the Fermi energy, states/eV/f.u.: 3.55
Space-group type: No. 71

Cell: 4.564 6.079 7.514 Å, 113.86 107.68 90.00°
Fractional positions:
Ca (0.000, 0.500, 0.000)
Be (0.500, 0.000, 0.000)
Ga (0.199, 0.199, 0.398)
Ga (0.801, 0.801, 0.602)
Au (0.637, 0.879, 0.274)
Au (0.363, 0.121, 0.726)
Au (0.363, 0.605, 0.726)
Au (0.637, 0.395, 0.274)
Au (0.000, 0.000, 0.000)

=====

No. 4
The following is a PBE-GGA calculation of a relaxed CaBe2GaAu4 crystal, from Alexandria via LeMat-Bulk.

Formation energy, eV/atom: -0.2319
V, Å³/atom: 18.4
DOS at the Fermi energy, states/eV/f.u.: 1.66
Space-group type: No. 166

Cell: 4.004 4.004 10.830 Å, 79.35 79.35 60.00°
Fractional positions:
Ca (0.000, 0.000, 0.000)
Be (0.752, 0.752, 0.745)
Be (0.248, 0.248, 0.255)
Ga (0.500, 0.500, 0.500)
Au (0.398, 0.398, 0.806)
Au (0.879, 0.879, 0.363)
Au (0.121, 0.121, 0.637)
Au (0.602, 0.602, 0.194)

=====

No. 5
The following is a PBE-GGA calculation of a relaxed CaBeGaAu2 crystal, from Alexandria via LeMat-Bulk.

Formation energy, eV/atom: -0.3386
V, Å³/atom: 19.2
DOS at the Fermi energy, states/eV/f.u.: 1.36
Space-group type: No. 123

Cell: 4.655 4.655 4.430 Å, 90.00 90.00 90.00°
Fractional positions:
Be (0.000, 0.000, 0.000)
Ca (0.500, 0.500, 0.500)
Au (0.000, 0.500, 0.000)
Au (0.500, 0.000, 0.000)
Ga (0.000, 0.000, 0.500)

=====

No. 6
The following is a PBE-GGA calculation of a relaxed CaBeGaAu3 crystal, from Alexandria via LeMat-Bulk.

Formation energy, eV/atom: -0.3583
V, Å³/atom: 19.9
DOS at the Fermi energy, states/eV/f.u.: 2.56
Space-group type: No. 63

Cell: 5.858 6.612 7.008 Å, 118.15 90.00 90.00°
Fractional positions:
Ca (0.750, 0.276, 0.552)
Ca (0.250, 0.724, 0.448)
Be (0.250, 0.979, 0.958)
Be (0.750, 0.021, 0.042)
Ga (0.250, 0.371, 0.741)
Ga (0.750, 0.629, 0.259)
Au (0.250, 0.169, 0.338)
Au (0.000, 0.272, 0.000)
Au (0.500, 0.728, 0.000)
Au (0.500, 0.272, 0.000)
Au (0.000, 0.728, 0.000)
Au (0.750, 0.831, 0.662)